# PBE with a Hubbard U NpV2F8, optimized geometry
# DFT total energy = -6.883 eV/atom
# DOS at the Fermi energy = 1.052 states/eV per atom
data_NpV2F8
_cell_length_a 10.199
_cell_length_b 7.450
_cell_length_c 4.334
_cell_angle_alpha 90.00
_cell_angle_beta 92.03
_cell_angle_gamma 90.00
_space_group_name_H-M_alt 'C 1 2/m 1'
_space_group_IT_number 12
_space_group_name_Hall '-C 2y'
loop_
_atom_site_label
_atom_site_fract_x
_atom_site_fract_y
_atom_site_fract_z
Np1 0.000 0.000 0.000
V1 0.117 0.500 0.258
F1 0.091 0.500 0.756
F2 0.101 0.221 0.250
F3 0.180 0.000 0.737